Arrangement P

Compound: AgHgBr2
Source: Alexandria via LeMat-Bulk
Functional: PBE-GGA
Structure: relaxed

a = 4.0531 Å, b = 7.4677 Å, c = 8.1985 Å
α = 90.00°, β = 90.00°, γ = 90.00°
With the nearest neighbours (Å) after each atom.
Space group Immm (No. 71)
Unique sites:
Ag 0.0000 0.0000 0.0000 (multiplicity 2)  4 Br 2.72
Hg 0.0000 0.0000 0.5000 (multiplicity 2)  4 Br 3.06
Br 0.0000 0.5000 0.2790 (multiplicity 4)  2 Ag 2.72


Arrangement Q

Compound: AgHgBr2
Source: Alexandria via LeMat-Bulk
Functional: PBE-GGA
Structure: relaxed

a = 3.5154 Å, b = 3.5154 Å, c = 33.3051 Å
α = 90.00°, β = 90.00°, γ = 120.00°
With the nearest neighbours (Å) after each atom.
Space group R-3m (No. 166, hexagonal axes)
Unique sites:
Ag 0.0000 0.0000 0.0000 (multiplicity 3)  2 Br 2.47
Hg 0.0000 0.0000 0.5000 (multiplicity 3)  6 Hg 3.52, 6 Br 3.69
Br 0.0000 0.0000 0.0741 (multiplicity 6)  1 Ag 2.47


Which of them is the least stable? Correct choice: arrangement Q.


Arrangement P

Compound: AgHg3Br
Source: Alexandria via LeMat-Bulk
Functional: PBE-GGA
Structure: relaxed

a = 5.4452 Å, b = 5.4452 Å, c = 5.4452 Å
α = 90.00°, β = 90.00°, γ = 90.00°
With the nearest neighbours (Å) after each atom.
Space group Pm-3m (No. 221)
Unique sites:
Ag 0.0000 0.0000 0.0000 (multiplicity 1)  6 Hg 2.72
Hg 0.0000 0.0000 0.5000 (multiplicity 3)  2 Ag 2.72
Br 0.5000 0.5000 0.5000 (multiplicity 1)  12 Hg 3.85


Arrangement Q

Compound: AgHg3Br
Source: Alexandria via LeMat-Bulk
Functional: PBE-GGA
Structure: relaxed

a = 5.9502 Å, b = 5.9502 Å, c = 5.9502 Å
α = 90.00°, β = 90.00°, γ = 90.00°
With the nearest neighbours (Å) after each atom.
Space group Pm-3m (No. 221)
Unique sites:
Ag 0.0000 0.0000 0.0000 (multiplicity 1)  12 Hg 4.21
Hg 0.0000 0.5000 0.5000 (multiplicity 3)  2 Br 2.98
Br 0.5000 0.5000 0.5000 (multiplicity 1)  6 Hg 2.98


Arrangement R

Compound: AgHg3Br
Source: Alexandria via LeMat-Bulk
Functional: PBE-GGA
Structure: relaxed

a = 11.9156 Å, b = 7.8953 Å, c = 8.4979 Å
α = 90.00°, β = 130.34°, γ = 90.00°
With the nearest neighbours (Å) after each atom.
Space group C2/m (No. 12)
Unique sites:
Ag 0.2500 0.2500 0.0000 (multiplicity 4)  2 Br 2.62
Hg 0.0677 0.2204 0.3686 (multiplicity 8)  1 Ag 2.97
Hg 0.1806 0.5000 0.2032 (multiplicity 4)  2 Ag 3.07, 5 Hg 3.33-3.35
Br 0.2281 0.0000 0.1815 (multiplicity 4)  2 Ag 2.62


Which of them is the least stable? Correct choice: arrangement Q.


Arrangement P

Compound: AgHg2Br4
Source: Alexandria via LeMat-Bulk
Functional: PBE-GGA
Structure: relaxed

a = 6.7549 Å, b = 6.7549 Å, c = 5.6288 Å
α = 90.00°, β = 90.00°, γ = 90.00°
With the nearest neighbours (Å) after each atom.
Space group P-42m (No. 111)
Unique sites:
Ag 0.0000 0.0000 0.0000 (multiplicity 1)  4 Br 2.73
Hg 0.0000 0.5000 0.5000 (multiplicity 2)  4 Br 2.81
Br 0.2490 0.2490 0.2369 (multiplicity 4)  1 Ag 2.73, 2 Hg 2.81


Arrangement Q

Compound: AgHg2Br4
Source: Alexandria via LeMat-Bulk
Functional: PBE-GGA
Structure: relaxed

a = 5.7633 Å, b = 5.7633 Å, c = 13.4351 Å
α = 90.00°, β = 90.00°, γ = 90.00°
With the nearest neighbours (Å) after each atom.
Space group I4/mmm (No. 139)
Unique sites:
Ag 0.0000 0.0000 0.0000 (multiplicity 2)  6 Br 2.81-2.88
Hg 0.0000 0.0000 0.3976 (multiplicity 4)  1 Br 2.53, 1 Hg 2.75
Br 0.0000 0.0000 0.2093 (multiplicity 4)  1 Hg 2.53, 1 Ag 2.81
Br 0.0000 0.5000 0.0000 (multiplicity 4)  2 Ag 2.88, 4 Hg 3.19


Which of them is the least stable? Correct choice: arrangement Q.


Arrangement P

Compound: Rb2AgHgBr6
Source: Alexandria via LeMat-Bulk
Functional: PBE-GGA
Structure: relaxed

a = 8.2560 Å, b = 7.7075 Å, c = 13.5691 Å
α = 90.00°, β = 124.88°, γ = 90.00°
With the nearest neighbours (Å) after each atom.
Space group P2_1/c (No. 14)
Unique sites:
Rb 0.2438 0.0297 0.2484 (multiplicity 4)  7 Br 3.52-3.94
Ag 0.0000 0.0000 0.5000 (multiplicity 2)  4 Br 2.63-2.65
Hg 0.5000 0.0000 0.0000 (multiplicity 2)  2 Br 2.56
Br 0.1625 0.0158 0.7321 (multiplicity 4)  1 Ag 2.63
Br 0.2337 0.7372 0.5343 (multiplicity 4)  1 Ag 2.65
Br 0.3471 0.2388 0.5346 (multiplicity 4)  1 Hg 2.56


Arrangement Q

Compound: Rb2AgHgBr6
Source: Alexandria via LeMat-Bulk
Functional: PBE-GGA
Structure: relaxed

a = 7.8433 Å, b = 7.8433 Å, c = 11.0537 Å
α = 90.00°, β = 90.00°, γ = 90.00°
With the nearest neighbours (Å) after each atom.
Space group I4/mmm (No. 139)
Unique sites:
Rb 0.0000 0.5000 0.2500 (multiplicity 4)  12 Br 3.91-3.92
Ag 0.0000 0.0000 0.0000 (multiplicity 2)  6 Br 2.70-2.76
Hg 0.0000 0.0000 0.5000 (multiplicity 2)  6 Br 2.78-2.83
Br 0.0000 0.0000 0.2442 (multiplicity 4)  1 Ag 2.70, 1 Hg 2.83
Br 0.2491 0.2491 0.0000 (multiplicity 8)  1 Ag 2.76, 1 Hg 2.78


Which of them is the least stable? Correct choice: arrangement Q.